GGA-PBE Ta2NbAg2S6, optimized geometry; electronic total energy = -72.240 eV/cell; density of states at the Fermi level = 4.4 states/eV/cell
1.0
5.899 -0.078 -0.419
-2.983 5.090 -0.419
-1.631 -2.804 7.877
Ta Nb Ag S
2 1 2 6
Direct
0.359 0.641 0.500
0.641 0.359 0.500
0.000 0.000 0.500
0.797 0.203 0.000
0.203 0.797 0.000
0.848 0.848 0.731
0.145 0.489 0.701
0.152 0.152 0.269
0.489 0.145 0.701
0.855 0.511 0.299
0.511 0.855 0.299